No. 1
The following is a DFT calculation (PBE-GGA) of a relaxed structure of Li6ZnPd3.

Structure (POSCAR):
```
Li6ZnPd3
1.0
4.324 -7.267 0.000
4.324 7.267 0.000
0.000 0.000 4.717
Li Zn Pd
12 2 6
direct
0.044 0.453 0.051
0.049 0.951 0.500
0.291 0.709 0.765
0.297 0.379 0.880
0.379 0.297 0.380
0.453 0.044 0.551
0.547 0.956 0.051
0.621 0.703 0.880
0.703 0.621 0.380
0.709 0.291 0.265
0.951 0.049 0.000
0.956 0.547 0.551
0.213 0.787 0.259
0.787 0.213 0.759
0.060 0.281 0.468
0.281 0.060 0.968
0.384 0.616 0.326
0.616 0.384 0.826
0.719 0.940 0.468
0.940 0.719 0.968
```

## Properties
Density of states at the Fermi level = 6.3 states/eV/cell
Total magnetization = 0.0 μB/f.u.
Formation enthalpy at 0 K = -294 kJ/mol of formula units

---

No. 2
The following is a DFT calculation (PBE-GGA) of a relaxed structure of LiZn2Pd.

Structure (POSCAR):
```
LiZn2Pd
1.0
3.940 0.000 0.000
0.000 3.940 0.000
0.000 0.000 3.647
Li Zn Pd
1 2 1
direct
0.000 0.000 0.000
0.000 0.500 0.500
0.500 0.000 0.500
0.500 0.500 0.000
```

## Properties
Density of states at the Fermi level = 1.4 states/eV/cell
Energy above the lowest structure with this stoichiometry = 37.3 meV/atom
Total magnetization = 0.0 μB/f.u.
Formation enthalpy at 0 K = -160 kJ/mol of formula units

---

No. 3
The following is a DFT calculation (PBE-GGA) of a relaxed structure of LiZn2Pd3.

Structure (POSCAR):
```
LiZn2Pd3
1.0
2.168 -6.490 0.000
2.168 6.490 0.000
0.000 0.000 5.993
Li Zn Pd
2 4 6
direct
0.166 0.834 0.000
0.834 0.166 0.000
0.167 0.833 0.500
0.500 0.500 0.000
0.500 0.500 0.500
0.833 0.167 0.500
0.000 0.000 0.249
0.000 0.000 0.751
0.333 0.667 0.248
0.333 0.667 0.752
0.667 0.333 0.248
0.667 0.333 0.752
```

## Properties
Density of states at the Fermi level = 3.3 states/eV/cell
Energy above the lowest structure with this stoichiometry = 0.0 meV/atom
Total magnetization = 0.0 μB/f.u.
Formation enthalpy at 0 K = -321 kJ/mol of formula units

---

No. 4
The following is a DFT calculation (PBE-GGA) of a relaxed structure of Li3Zn4Pd2.

Structure (POSCAR):
```
Li3Zn4Pd2
1.0
3.921 -2.057 0.000
3.921 2.057 0.000
-0.958 0.000 7.984
Li Zn Pd
3 4 2
direct
0.000 0.000 0.000
0.329 0.329 0.442
0.671 0.671 0.558
0.005 0.005 0.667
0.330 0.330 0.113
0.670 0.670 0.887
0.995 0.995 0.333
0.339 0.339 0.783
0.661 0.661 0.217
```

## Properties
Density of states at the Fermi level = 2.7 states/eV/cell
Total magnetization = 0.0 μB/f.u.
Formation enthalpy at 0 K = -362 kJ/mol of formula units

---

No. 5
The following is a DFT calculation (PBE-GGA) of a relaxed structure of Li3Zn2Pd2.

Structure (POSCAR):
```
Li3Zn2Pd2
1.0
2.156 1.245 6.230
-2.156 1.245 6.230
0.000 -2.489 6.230
Li Zn Pd
3 2 2
direct
0.000 0.000 0.000
0.145 0.145 0.145
0.855 0.855 0.855
0.285 0.285 0.285
0.715 0.715 0.715
0.425 0.425 0.425
0.575 0.575 0.575
```

## Properties
Density of states at the Fermi level = 2.2 states/eV/cell
Energy above the lowest structure with this stoichiometry = 0.0 meV/atom
Total magnetization = 0.0 μB/f.u.
Formation enthalpy at 0 K = -300 kJ/mol of formula units

---

No. 6
The following is a DFT calculation (PBE-GGA) of a relaxed structure of Li4Zn2Pd.

Structure (POSCAR):
```
Li4Zn2Pd
1.0
-2.958 3.587 2.570
2.958 -3.587 2.570
2.958 3.587 -2.570
Li Zn Pd
4 2 1
direct
0.206 0.215 0.421
0.206 0.785 0.991
0.794 0.215 0.009
0.794 0.785 0.579
0.254 0.754 0.500
0.556 0.556 0.000
0.741 0.241 0.500
```

## Properties
Density of states at the Fermi level = 3.0 states/eV/cell
Energy above the lowest structure with this stoichiometry = 0.0 meV/atom
Total magnetization = 0.0 μB/f.u.
Formation enthalpy at 0 K = -133 kJ/mol of formula units

---

No. 7
The following is a DFT calculation (PBE-GGA) of a relaxed structure of Li2Zn3Pd4.

Structure (POSCAR):
```
Li2Zn3Pd4
1.0
3.694 -2.123 0.000
3.694 2.123 0.000
-0.045 0.000 8.058
Li Zn Pd
2 3 4
direct
0.168 0.168 0.218
0.832 0.832 0.782
0.166 0.166 0.561
0.500 0.500 0.000
0.834 0.834 0.439
0.166 0.166 0.890
0.498 0.498 0.674
0.502 0.502 0.326
0.834 0.834 0.110
```

## Properties
Density of states at the Fermi level = 1.9 states/eV/cell
Total magnetization = 0.0 μB/f.u.
Formation enthalpy at 0 K = -444 kJ/mol of formula units

---

No. 8
The following is a DFT calculation (PBE-GGA) of a relaxed structure of Li4Zn3Pd4.

Structure (POSCAR):
```
Li4Zn3Pd4
1.0
2.791 0.000 0.000
0.002 4.174 0.000
1.291 2.073 13.259
Li Zn Pd
4 3 4
direct
0.107 0.092 0.317
0.264 0.266 0.968
0.736 0.734 0.032
0.893 0.908 0.683
0.000 0.000 0.500
0.152 0.644 0.213
0.848 0.356 0.787
0.317 0.823 0.853
0.436 0.447 0.605
0.564 0.553 0.395
0.683 0.177 0.147
```

## Properties
Density of states at the Fermi level = 1.8 states/eV/cell
Total magnetization = 0.0 μB/f.u.
Formation enthalpy at 0 K = -471 kJ/mol of formula units

---

No. 9
The following is a DFT calculation (PBE-GGA) of a relaxed structure of LiZnPd3.

Structure (POSCAR):
```
LiZnPd3
1.0
4.874 0.000 0.000
0.000 4.458 0.000
-2.251 0.000 6.662
Li Zn Pd
2 2 6
direct
0.042 0.250 0.393
0.958 0.750 0.607
0.430 0.250 0.190
0.570 0.750 0.810
0.159 0.750 0.997
0.248 0.250 0.785
0.347 0.750 0.417
0.653 0.250 0.583
0.752 0.750 0.215
0.841 0.250 0.003
```

## Properties
Density of states at the Fermi level = 3.3 states/eV/cell
Energy above the lowest structure with this stoichiometry = 0.0 meV/atom
Total magnetization = 0.0 μB/f.u.
Formation enthalpy at 0 K = -194 kJ/mol of formula units

---

No. 10
The following is a DFT calculation (PBE-GGA) of a relaxed structure of Li3Zn2Pd8.

Structure (POSCAR):
```
Li3Zn2Pd8
1.0
5.711 -3.489 0.000
5.711 3.489 0.000
-0.748 0.000 5.032
Li Zn Pd
3 2 8
direct
0.000 0.000 0.000
0.185 0.815 0.500
0.815 0.185 0.500
0.207 0.207 0.777
0.793 0.793 0.223
0.189 0.577 0.070
0.193 0.193 0.281
0.403 0.403 0.604
0.423 0.811 0.930
0.577 0.189 0.070
0.597 0.597 0.396
0.807 0.807 0.719
0.811 0.423 0.930
```

## Properties
Density of states at the Fermi level = 5.8 states/eV/cell
Total magnetization = 0.0 μB/f.u.
Formation enthalpy at 0 K = -257 kJ/mol of formula units

---

No. 11
The following is a DFT calculation (PBE-GGA) of a relaxed structure of Li12Zn2Pd5.

Structure (POSCAR):
```
Li12Zn2Pd5
1.0
6.709 -2.605 0.000
6.709 2.605 0.000
-6.114 0.000 8.538
Li Zn Pd
12 2 5
direct
0.003 0.498 0.688
0.033 0.033 0.143
0.091 0.570 0.982
0.430 0.909 0.018
0.454 0.454 0.696
0.498 0.003 0.688
0.502 0.997 0.312
0.546 0.546 0.304
0.570 0.091 0.982
0.909 0.430 0.018
0.967 0.967 0.857
0.997 0.502 0.312
0.254 0.746 0.500
0.746 0.254 0.500
0.113 0.113 0.765
0.147 0.147 0.438
0.500 0.500 0.000
0.853 0.853 0.562
0.887 0.887 0.235
```

## Properties
Density of states at the Fermi level = 5.8 states/eV/cell
Total magnetization = 0.0 μB/f.u.
Formation enthalpy at 0 K = -408 kJ/mol of formula units

---

No. 12
The following is a DFT calculation (PBE-GGA) of a relaxed structure of Li4Zn2Pd3.

Structure (POSCAR):
```
Li4Zn2Pd3
1.0
4.557 -2.101 0.000
4.557 2.101 0.000
-4.031 0.000 6.570
Li Zn Pd
4 2 3
direct
0.099 0.099 0.435
0.233 0.233 0.901
0.767 0.767 0.099
0.901 0.901 0.565
0.432 0.432 0.762
0.568 0.568 0.238
0.000 0.000 0.000
0.331 0.331 0.338
0.669 0.669 0.662
```

## Properties
Density of states at the Fermi level = 2.1 states/eV/cell
Energy above the lowest structure with this stoichiometry = 0.0 meV/atom
Total magnetization = 0.0 μB/f.u.
Formation enthalpy at 0 K = -386 kJ/mol of formula units